1.
## CrTcNi2H (PBE-GGA)

Data for crystalline CrTcNi2H at its relaxed geometry.

Computed properties:
M_tot ... 0.099 μB/atom
Calculated total energy ... -6.948 eV per atom
Density of states at the Fermi level ... 3.6 states/eV/f.u.

Lattice parameters (Å, degrees): 3.568 3.568 3.938 90.00 90.00 90.00
Fractional positions:
Cr 0.000 0.000 0.000
Tc 0.500 0.500 0.000
Ni 0.000 0.500 0.500
Ni 0.500 0.000 0.500
H 0.000 0.000 0.500



2.
## CrTc2NiH (PBE-GGA)

Data for crystalline CrTc2NiH at its relaxed geometry.

Computed properties:
M_tot ... 0.113 μB/atom
Calculated total energy ... -7.832 eV per atom
Density of states at the Fermi level ... 3.8 states/eV/f.u.

Lattice parameters (Å, degrees): 3.834 3.834 3.702 90.00 90.00 90.00
Fractional positions:
Cr 0.000 0.000 0.000
Tc 0.000 0.500 0.500
Tc 0.500 0.000 0.500
Ni 0.500 0.500 0.000
H 0.000 0.000 0.500